A relaxed SiNiN2F crystal. Source: Alexandria via LeMat-Bulk, functional GGA+U.

Calculated values
- Spin magnetization: 0.58 μB per formula unit
- Energy above the most stable polymorph in this dataset: 988 meV/atom
- VASP energy: -4.3981 eV/atom

Cell: 3.8018 3.8018 3.7094 Å, 90.00 90.00 90.00°
Last column: nearest neighbours and their distance in Å.
Space group P4/mmm (No. 123)
Symmetry-distinct sites (fractional):
Si 0.0000 0.0000 0.0000 (multiplicity 1)  8 N 2.66, 4 F 2.69
Ni 0.5000 0.5000 0.5000 (multiplicity 1)  2 F 1.85, 4 N 1.90
N 0.0000 0.5000 0.5000 (multiplicity 2)  2 Ni 1.90
F 0.5000 0.5000 0.0000 (multiplicity 1)  2 Ni 1.85